The following is a DFT calculation (PBE) of crystalline Tb4Tm6Tl at its relaxed geometry.

ΔE_f in eV per atom: -0.016
Total magnetization in μB/cell: 0.00
Crystal system: monoclinic
Uncorrected energy in eV per atom: -4.354

Lattice parameters (Å, degrees): 23.2931 3.5944 8.6442 90.00 111.24 90.00
Space group Cm (No. 8)
Unique sites:
1 Tb 0.0000 0.0000 0.0000 (multiplicity 2)
2 Tb 0.0451 0.0000 0.4685 (multiplicity 2)
3 Tb 0.2765 0.5000 0.9760 (multiplicity 2)
4 Tb 0.3286 0.5000 0.4413 (multiplicity 2)
5 Tm 0.1176 0.5000 0.8367 (multiplicity 2)
6 Tm 0.2038 0.0000 0.1915 (multiplicity 2)
7 Tm 0.2049 0.0000 0.5991 (multiplicity 2)
8 Tm 0.3616 0.0000 0.8054 (multiplicity 2)
9 Tm 0.4119 0.0000 0.2209 (multiplicity 2)
10 Tm 0.4621 0.0000 0.6382 (multiplicity 2)
11 Tl 0.1085 0.5000 0.2633 (multiplicity 2)